(1)
Compound: NpAsF
Source: Alexandria
Functional: PBE
Structure: relaxed

Calculated values
Fermi-level density of states = 9.27 states/eV per cell
Uncorrected formation energy = -1.68 eV per atom
Energy = -24.5 eV/cell
ρ = 9.8 Mg/m³
Polymorph energy (0 for the lowest one) = 0 meV per atom

a b c (Å): 4.0646 4.0646 3.9376
angles (deg): 90.00 90.00 120.00
Space group P-6m2 (No. 187)
Unique sites:
1 Np 0.0000 0.0000 0.0000 [1 per cell]
2 As 0.6667 0.3333 0.5000 [1 per cell]
3 F 0.3333 0.6667 0.0000 [1 per cell]

***

(2)
Compound: CeY8Er3
Source: Alexandria
Functional: PBE
Structure: relaxed

Calculated values
Fermi-level density of states = 43.67 states/eV per cell
Energy = -127.1 eV/cell
ρ = 5.3 Mg/m³
ΔH_f (0 K) = 62 kJ/mol of atoms

a b c (Å): 8.6224 8.6224 11.4355
angles (deg): 90.00 90.00 90.00
Space group I-42m (No. 121)
Unique sites:
1 Ce 0.0000 0.0000 0.0000 [2 per cell]
2 Y 0.1259 0.1259 0.2367 [8 per cell]
3 Y 0.2328 0.2328 0.9705 [8 per cell]
4 Er 0.0000 0.0000 0.5000 [2 per cell]
5 Er 0.0000 0.5000 0.2500 [4 per cell]

***

(3)
Compound: Nb4BH2
Source: Alexandria
Functional: PBE
Structure: relaxed

Calculated values
Fermi-level density of states = 9.62 states/eV per cell
Energy = -106.1 eV/cell
ρ = 7.1 Mg/m³

a b c (Å): 4.3114 4.3114 9.7285
angles (deg): 90.00 90.00 90.00
Space group I4/mmm (No. 139)
Unique sites:
1 Nb 0.0000 0.0000 0.2370 [4 per cell]
2 Nb 0.0000 0.5000 0.0000 [4 per cell]
3 B 0.0000 0.0000 0.0000 [2 per cell]
4 H 0.0000 0.0000 0.4308 [4 per cell]

***

(4)
Compound: KCaRuO2
Source: Alexandria
Functional: PBE
Structure: relaxed

Calculated values
Fermi-level density of states = 3.52 states/eV per cell
Uncorrected formation energy = 1.00 eV per atom
Energy = -17.3 eV/cell
ρ = 3.4 Mg/m³
Polymorph energy (0 for the lowest one) = 683 meV per atom

a b c (Å): 4.5861 4.5861 4.9423
angles (deg): 90.00 90.00 90.00
Space group P4/mmm (No. 123)
Unique sites:
1 K 0.0000 0.0000 0.0000 [1 per cell]
2 Ca 0.0000 0.0000 0.5000 [1 per cell]
3 Ru 0.5000 0.5000 0.5000 [1 per cell]
4 O 0.0000 0.5000 0.0000 [2 per cell]

***

(5)
Compound: KLaTiO4
Source: Alexandria
Functional: PBE
Structure: relaxed

Calculated values
Fermi-level density of states = 0.00 states/eV per cell
Uncorrected formation energy = -2.92 eV per atom
Energy = -108.4 eV/cell
ρ = 3.4 Mg/m³
Polymorph energy (0 for the lowest one) = 70 meV per atom

a b c (Å): 6.2738 6.0908 7.6162
angles (deg): 90.00 99.47 90.00
Space group P2_1/m (No. 11)
Unique sites:
1 K 0.1519 0.2500 0.3902 [2 per cell]
2 La 0.3032 0.2500 0.9374 [2 per cell]
3 Ti 0.2111 0.7500 0.1594 [2 per cell]
4 O 0.0030 0.7500 0.3026 [2 per cell]
5 O 0.0435 0.7500 0.9448 [2 per cell]
6 O 0.4049 0.5192 0.1665 [4 per cell]

***

(6)
Compound: CeTmNi2
Source: Alexandria
Functional: PBE
Structure: relaxed

Calculated values
Fermi-level density of states = 4.99 states/eV per cell
Energy = -23.4 eV/cell
ρ = 9.3 Mg/m³
ΔH_f (0 K) = -34 kJ/mol of atoms

a b c (Å): 4.7852 4.7852 3.3356
angles (deg): 90.00 90.00 90.00
Space group P4/mmm (No. 123)
Unique sites:
1 Ce 0.0000 0.0000 0.0000 [1 per cell]
2 Tm 0.5000 0.5000 0.0000 [1 per cell]
3 Ni 0.0000 0.5000 0.5000 [2 per cell]

***

(7)
Compound: ThZnAu
Source: Alexandria
Functional: PBE
Structure: relaxed

Calculated values
Fermi-level density of states = 9.88 states/eV per cell
Energy = -54.4 eV/cell
ρ = 12.4 Mg/m³
ΔH_f (0 K) = -53 kJ/mol of atoms

a b c (Å): 10.5978 4.6881 6.9701
angles (deg): 90.00 129.84 90.00
Space group C2/m (No. 12)
Unique sites:
1 Th 0.0141 0.0000 0.2733 [4 per cell]
2 Zn 0.1590 0.5000 0.1338 [4 per cell]
3 Au 0.1777 0.5000 0.6961 [4 per cell]

***

(8)
Compound: Ba2OsPt
Source: Alexandria
Functional: PBE
Structure: relaxed

Calculated values
Fermi-level density of states = 26.00 states/eV per cell
Energy = -73.4 eV/cell
ρ = 9.5 Mg/m³
ΔH_f (0 K) = 67 kJ/mol of atoms
Polymorph energy (0 for the lowest one) = 710 meV per atom

a b c (Å): 8.4931 8.4931 6.3752
angles (deg): 90.00 90.00 90.00
Space group I-42d (No. 122)
Unique sites:
1 Ba 0.2500 0.2498 0.3750 [8 per cell]
2 Os 0.0000 0.0000 0.0000 [4 per cell]
3 Pt 0.0000 0.0000 0.5000 [4 per cell]

***

(9)
Compound: Nd6Rh2Br3Cl
Source: Alexandria
Functional: PBE
Structure: relaxed

Calculated values
Fermi-level density of states = 16.19 states/eV per cell
Uncorrected formation energy = -1.13 eV per atom
Energy = -127.4 eV/cell
ρ = 6.3 Mg/m³

a b c (Å): 7.3570 12.7070 7.9577
angles (deg): 90.00 107.81 90.00
Space group C2/m (No. 12)
Unique sites:
1 Nd 0.2038 0.0000 0.1997 [4 per cell]
2 Nd 0.2496 0.1814 0.7970 [8 per cell]
3 Rh 0.0000 0.1677 0.0000 [4 per cell]
4 Br 0.0000 0.0000 0.5000 [2 per cell]
5 Br 0.0000 0.3412 0.5000 [4 per cell]
6 Cl 0.0000 0.5000 0.0000 [2 per cell]

***

(10)
Compound: HoMg4Pb
Source: Alexandria
Functional: PBE
Structure: relaxed

Calculated values
Fermi-level density of states = 15.90 states/eV per cell
Energy = -59.1 eV/cell
ρ = 5.1 Mg/m³
ΔH_f (0 K) = -2 kJ/mol of atoms

a b c (Å): 8.4953 8.4953 8.4953
angles (deg): 90.00 90.00 90.00
Space group F-43m (No. 216)
Unique sites:
1 Ho 0.0000 0.0000 0.0000 [4 per cell]
2 Mg 0.1252 0.1252 0.3748 [16 per cell]
3 Pb 0.2500 0.2500 0.7500 [4 per cell]

***

(11)
Compound: NiBiI3
Source: Alexandria
Functional: PBE
Structure: relaxed

Calculated values
Fermi-level density of states = 3.74 states/eV per cell
Uncorrected formation energy = 0.64 eV per atom
Energy = -11.1 eV/cell
ρ = 4.6 Mg/m³
Polymorph energy (0 for the lowest one) = 489 meV per atom

a b c (Å): 6.1739 6.1739 6.1739
angles (deg): 90.00 90.00 90.00
Space group Pm-3m (No. 221)
Unique sites:
1 Ni 0.0000 0.0000 0.0000 [1 per cell]
2 Bi 0.5000 0.5000 0.5000 [1 per cell]
3 I 0.0000 0.5000 0.5000 [3 per cell]

***

(12)
Compound: SrCa2PtO
Source: Alexandria
Functional: PBE
Structure: relaxed

Calculated values
Fermi-level density of states = 1.74 states/eV per cell
Uncorrected formation energy = -1.46 eV per atom
Energy = -24.0 eV/cell
ρ = 5.6 Mg/m³

a b c (Å): 4.6988 4.6988 5.0763
angles (deg): 90.00 90.00 90.00
Space group P4/mmm (No. 123)
Unique sites:
1 Sr 0.0000 0.0000 0.0000 [1 per cell]
2 Ca 0.0000 0.5000 0.5000 [2 per cell]
3 Pt 0.5000 0.5000 0.0000 [1 per cell]
4 O 0.0000 0.0000 0.5000 [1 per cell]

***

Q: The highest ρ belongs to which entry?
A: ThZnAu